1.
Material: Cs2WSCl5
Method: DFT, PBE
State: relaxed

Results
- E_form (uncorrected) (eV per atom) = -1.34
- space-group type = No. 107
- total DFT energy (no corrections) (eV for the cell shown) = -40.12

```
Cs2WSCl5
1.0
-3.796 3.796 5.186
3.796 -3.796 5.186
3.796 3.796 -5.186
Cs W S Cl
2 1 1 5
Cartesian
3.796 0.000 0.000 Cs
0.000 3.796 0.000 Cs
0.000 0.000 2.853 W
0.000 0.000 5.018 S
2.096 2.096 -2.590 Cl
1.699 -1.699 2.596 Cl
0.000 0.000 0.314 Cl
-1.699 1.699 2.596 Cl
1.699 1.699 2.596 Cl
```

=====

2.
Material: Tb3HoPu2Te6
Method: DFT, PBE
State: relaxed

Results
- Fermi-level density of states (states/eV/cell) = 23.0
- E_form (uncorrected) (eV per atom) = -1.25
- space-group type = No. 12
- total DFT energy (no corrections) (eV for the cell shown) = -80.98

```
Tb3HoPu2Te6
1.0
9.569 -2.183 0.000
9.569 2.183 0.000
-2.079 0.000 8.555
Tb Ho Pu Te
3 1 2 6
Cartesian
0.000 0.000 0.000 Tb
4.963 0.000 5.696 Tb
12.096 0.000 2.858 Tb
-1.040 0.000 4.277 Ho
6.046 0.000 1.430 Pu
11.013 0.000 7.125 Pu
1.953 0.000 4.961 Te
3.002 0.000 0.728 Te
7.978 0.000 6.390 Te
9.081 0.000 2.164 Te
14.057 0.000 7.827 Te
15.106 0.000 3.593 Te
```

=====

3.
Material: Li2DyMnS4
Method: DFT, PBE
State: relaxed

Results
- Fermi-level density of states (states/eV/cell) = 1.6
- E_form (uncorrected) (eV per atom) = -1.30
- space-group type = No. 10
- total DFT energy (no corrections) (eV for the cell shown) = -44.54

```
Li2DyMnS4
1.0
6.395 0.000 0.000
0.000 3.761 0.000
-2.119 0.000 6.109
Li Dy Mn S
2 1 1 4
Cartesian
0.000 0.000 0.000 Li
3.198 1.881 0.000 Li
-1.060 1.881 3.054 Dy
2.138 0.000 3.054 Mn
1.187 1.881 1.582 S
0.189 0.000 4.534 S
4.087 0.000 1.575 S
3.089 1.881 4.527 S
```

=====

4.
Material: Nd3CuHg
Method: DFT, PBE
State: relaxed

Results
- Fermi-level density of states (states/eV/cell) = 10.7
- space-group type = No. 63
- formation enthalpy at 0 K (eV per atom) = -0.211
- total DFT energy (no corrections) (eV for the cell shown) = -39.52

```
Nd3CuHg
1.0
2.644 -10.022 0.000
2.644 10.022 0.000
0.000 0.000 5.288
Nd Cu Hg
6 2 2
Cartesian
2.644 8.697 3.966 Nd
2.644 5.010 3.966 Nd
2.644 1.317 3.966 Nd
2.644 -1.317 1.322 Nd
2.644 -5.010 1.322 Nd
2.644 -8.697 1.322 Nd
2.644 6.857 1.322 Cu
2.644 -6.857 3.966 Cu
2.644 3.135 1.322 Hg
2.644 -3.135 3.966 Hg
```

=====

5.
Material: AlGaCu2
Method: DFT, PBE
State: relaxed

Results
- Fermi-level density of states (states/eV/cell) = 1.7
- space-group type = No. 123
- formation enthalpy at 0 K (eV per atom) = -0.089
- total DFT energy (no corrections) (eV for the cell shown) = -15.32

```
AlGaCu2
1.0
3.889 0.000 0.000
0.000 3.889 0.000
0.000 0.000 3.623
Al Ga Cu
1 1 2
Cartesian
0.000 0.000 0.000 Al
1.944 1.944 0.000 Ga
0.000 1.944 1.812 Cu
1.944 0.000 1.812 Cu
```

=====

6.
Material: Pd2Pb4Au3
Method: DFT, PBE
State: relaxed

Results
- Fermi-level density of states (states/eV/cell) = 3.7
- space-group type = No. 12
- formation enthalpy at 0 K (eV per atom) = -0.109
- total DFT energy (no corrections) (eV for the cell shown) = -36.03

```
Pd2Pb4Au3
1.0
7.872 -2.089 0.000
7.872 2.089 0.000
-2.227 0.000 6.398
Pd Pb Au
2 4 3
Cartesian
0.784 0.000 2.953 Pd
12.733 0.000 3.445 Pd
-0.678 0.000 5.456 Pb
3.526 0.000 1.925 Pb
9.991 0.000 4.474 Pb
14.195 0.000 0.942 Pb
4.568 0.000 5.307 Au
6.758 0.000 3.199 Au
8.948 0.000 1.091 Au
```

=====

7.
Material: HgPNCl2
Method: DFT, PBE
State: relaxed

Results
- Fermi-level density of states (states/eV/cell) = 5.3
- E_form (uncorrected) (eV per atom) = 0.62
- space-group type = No. 123
- total DFT energy (no corrections) (eV for the cell shown) = -14.61

```
HgPNCl2
1.0
6.468 0.000 0.000
0.000 6.468 0.000
0.000 0.000 3.159
Hg P N Cl
1 1 1 2
Cartesian
0.000 0.000 0.000 Hg
3.234 3.234 0.000 P
3.234 3.234 1.579 N
0.000 3.234 1.579 Cl
3.234 0.000 1.579 Cl
```

=====

8.
Material: BMo2Se
Method: DFT, PBE
State: relaxed

Results
- Fermi-level density of states (states/eV/cell) = 9.8
- E_form (uncorrected) (eV per atom) = 0.59
- space-group type = No. 122
- total DFT energy (no corrections) (eV for the cell shown) = -58.91

```
BMo2Se
1.0
-2.688 2.688 4.967
2.688 -2.688 4.967
2.688 2.688 -4.967
B Mo Se
2 4 2
Cartesian
0.000 0.000 0.000 B
0.000 2.688 2.483 B
4.033 0.994 -1.242 Mo
0.994 1.344 1.242 Mo
-1.344 1.694 3.725 Mo
1.694 1.344 6.209 Mo
2.688 0.000 2.483 Se
0.000 0.000 4.967 Se
```

=====

9.
Material: Li3TeC
Method: DFT, PBE
State: relaxed

Results
- Fermi-level density of states (states/eV/cell) = 3.5
- E_form (uncorrected) (eV per atom) = 0.24
- space-group type = No. 221
- total DFT energy (no corrections) (eV for the cell shown) = -16.92

```
Li3TeC
1.0
4.219 0.000 0.000
0.000 4.219 0.000
0.000 0.000 4.219
Li Te C
3 1 1
Cartesian
0.000 0.000 2.110 Li
0.000 2.110 0.000 Li
2.110 0.000 0.000 Li
2.110 2.110 2.110 Te
0.000 0.000 0.000 C
```

=====

10.
Material: Pa2TiMnS5
Method: DFT, PBE
State: relaxed

Results
- Fermi-level density of states (states/eV/cell) = 14.3
- E_form (uncorrected) (eV per atom) = -1.38
- space-group type = No. 36
- total DFT energy (no corrections) (eV for the cell shown) = -138.24

```
Pa2TiMnS5
1.0
1.803 -7.779 0.000
1.803 7.779 0.000
0.000 0.000 11.494
Pa Ti Mn S
4 2 2 10
Cartesian
1.803 6.056 5.747 Pa
1.803 5.832 9.814 Pa
1.803 -5.832 4.067 Pa
1.803 -6.056 0.000 Pa
1.803 5.051 1.971 Ti
1.803 -5.051 7.718 Ti
1.803 0.937 6.608 Mn
1.803 -0.937 0.861 Mn
1.803 7.524 2.032 S
1.803 3.078 5.995 S
1.803 2.995 9.523 S
1.803 2.500 2.005 S
1.803 0.028 10.375 S
1.803 -0.028 4.628 S
1.803 -2.500 7.752 S
1.803 -2.995 3.777 S
1.803 -3.078 0.248 S
1.803 -7.524 7.779 S
```

=====

11.
Material: Nd2Cu3Sn4Au
Method: DFT, PBE
State: relaxed

Results
- Fermi-level density of states (states/eV/cell) = 2.6
- space-group type = No. 115
- formation enthalpy at 0 K (eV per atom) = -0.446
- total DFT energy (no corrections) (eV for the cell shown) = -45.57

```
Nd2Cu3Sn4Au
1.0
4.508 0.000 0.000
0.000 4.508 0.000
0.000 0.000 10.868
Nd Cu Sn Au
2 3 4 1
Cartesian
0.000 2.254 2.672 Nd
2.254 0.000 8.196 Nd
0.000 0.000 0.000 Cu
0.000 2.254 6.862 Cu
2.254 0.000 4.007 Cu
0.000 0.000 5.434 Sn
0.000 2.254 9.377 Sn
2.254 0.000 1.491 Sn
2.254 2.254 5.434 Sn
2.254 2.254 0.000 Au
```

=====

12.
Material: RbLiTm2O4
Method: DFT, PBE
State: relaxed

Results
- Fermi-level density of states (states/eV/cell) = 0.0
- E_form (uncorrected) (eV per atom) = -2.87
- space-group type = No. 63
- total DFT energy (no corrections) (eV for the cell shown) = -109.31

```
RbLiTm2O4
1.0
1.714 -5.775 0.000
1.714 5.775 0.000
0.000 0.000 11.572
Rb Li Tm O
2 2 4 8
Cartesian
1.714 4.634 8.679 Rb
1.714 -4.634 2.893 Rb
1.714 3.679 2.893 Li
1.714 -3.679 8.679 Li
1.714 1.562 6.465 Tm
1.714 1.562 10.893 Tm
1.714 -1.562 0.679 Tm
1.714 -1.562 5.107 Tm
0.000 0.000 0.000 O
0.000 0.000 5.786 O
1.714 2.886 1.132 O
1.714 2.886 4.654 O
1.714 1.174 8.679 O
1.714 -1.174 2.893 O
1.714 -2.886 6.919 O
1.714 -2.886 10.440 O
```

=====

13.
Material: Pm6ThPb4
Method: DFT, PBE
State: relaxed

Results
- Fermi-level density of states (states/eV/cell) = 13.7
- space-group type = No. 187
- formation enthalpy at 0 K (eV per atom) = -0.337
- total DFT energy (no corrections) (eV for the cell shown) = -54.46

```
Pm6ThPb4
1.0
9.909 0.000 0.000
-4.954 8.581 0.000
0.000 0.000 4.279
Pm Th Pb
6 1 4
Cartesian
0.000 3.381 0.000 Pm
-2.026 6.891 0.000 Pm
4.954 0.687 2.139 Pm
3.072 3.947 2.139 Pm
2.026 6.891 0.000 Pm
6.837 3.947 2.139 Pm
0.000 0.000 2.139 Th
2.418 1.396 0.000 Pb
0.000 5.721 2.139 Pb
7.491 1.396 0.000 Pb
4.954 5.789 0.000 Pb
```

=====

14.
Material: CdAgNF2
Method: DFT, PBE
State: relaxed

Results
- Fermi-level density of states (states/eV/cell) = 1.4
- E_form (uncorrected) (eV per atom) = -0.14
- space-group type = No. 123
- total DFT energy (no corrections) (eV for the cell shown) = -16.54

```
CdAgNF2
1.0
4.470 0.000 0.000
0.000 4.470 0.000
0.000 0.000 4.354
Cd Ag N F
1 1 1 2
Cartesian
0.000 0.000 0.000 Cd
2.235 2.235 2.177 Ag
0.000 0.000 2.177 N
0.000 2.235 0.000 F
2.235 0.000 0.000 F
```

=====

15.
Material: CdAg12Au7
Method: DFT, PBE
State: relaxed

Results
- Fermi-level density of states (states/eV/cell) = 6.4
- space-group type = No. 148
- formation enthalpy at 0 K (eV per atom) = 0.040
- total DFT energy (no corrections) (eV for the cell shown) = -57.27

```
CdAg12Au7
1.0
6.020 3.476 3.012
-6.020 3.476 3.012
0.000 -6.952 3.012
Cd Ag Au
1 12 7
Cartesian
0.000 0.000 0.000 Cd
-1.493 -4.433 3.405 Ag
-2.214 -1.803 4.170 Ag
-4.585 -0.924 5.632 Ag
-3.093 3.509 3.405 Ag
-2.669 1.016 4.866 Ag
0.455 -2.819 4.866 Ag
-0.455 2.819 4.170 Ag
2.669 -1.016 4.170 Ag
3.093 -3.509 5.632 Ag
4.585 0.924 3.405 Ag
2.214 1.803 4.866 Ag
1.493 4.433 5.632 Ag
-1.757 0.289 2.241 Au
0.628 -1.666 2.241 Au
1.129 1.377 2.241 Au
0.000 0.000 4.518 Au
-1.129 -1.377 6.795 Au
-0.628 1.666 6.795 Au
1.757 -0.289 6.795 Au
```

=====

16.
Material: TlIn2Au2
Method: DFT, PBE
State: relaxed

Results
- Fermi-level density of states (states/eV/cell) = 3.4
- space-group type = No. 2
- formation enthalpy at 0 K (eV per atom) = -0.102
- total DFT energy (no corrections) (eV for the cell shown) = -29.81

```
TlIn2Au2
1.0
6.399 0.000 0.000
2.760 6.196 0.000
2.965 2.053 6.415
Tl In Au
2 4 4
Cartesian
2.420 2.972 1.587 Tl
9.705 5.278 4.828 Tl
5.856 7.261 4.140 In
5.235 4.641 0.943 In
6.890 3.609 5.472 In
6.269 0.988 2.274 In
4.237 2.755 6.209 Au
4.931 3.181 3.369 Au
7.194 5.068 3.046 Au
7.888 5.495 0.206 Au
```

=====

17.
Material: MnVIr2Pb
Method: DFT, PBE
State: relaxed

Results
- Fermi-level density of states (states/eV/cell) = 14.6
- space-group type = No. 123
- formation enthalpy at 0 K (eV per atom) = 0.896
- total DFT energy (no corrections) (eV for the cell shown) = -35.24

```
MnVIr2Pb
1.0
4.625 0.000 0.000
0.000 4.625 0.000
0.000 0.000 4.267
Mn V Ir Pb
1 1 2 1
Cartesian
0.000 0.000 0.000 Mn
0.000 0.000 2.134 V
0.000 2.313 0.000 Ir
2.313 0.000 0.000 Ir
2.313 2.313 2.134 Pb
```

=====

18.
Material: Pa2OsPt
Method: DFT, PBE
State: relaxed

Results
- Fermi-level density of states (states/eV/cell) = 5.1
- space-group type = No. 166
- formation enthalpy at 0 K (eV per atom) = 0.116
- total DFT energy (no corrections) (eV for the cell shown) = -35.80

```
Pa2OsPt
1.0
1.526 0.881 10.185
-1.526 0.881 10.185
0.000 -1.762 10.185
Pa Os Pt
2 1 1
Cartesian
0.000 0.000 2.581 Pa
0.000 0.000 27.972 Pa
0.000 0.000 0.000 Os
0.000 0.000 15.277 Pt
```

=====

19.
Material: LiDyH6Ir2
Method: DFT, PBE
State: relaxed

Results
- Fermi-level density of states (states/eV/cell) = 0.8
- space-group type = No. 15
- total DFT energy (no corrections) (eV for the cell shown) = -97.00

```
LiDyH6Ir2
1.0
3.899 -4.496 0.000
3.899 4.496 0.000
-1.442 0.000 5.183
Li Dy H Ir
2 2 12 4
Cartesian
2.817 3.645 3.887 Li
3.539 -3.645 1.296 Li
3.539 1.523 1.296 Dy
2.817 -1.523 3.887 Dy
2.700 3.566 1.978 H
1.229 2.458 4.488 H
4.377 3.566 0.614 H
1.166 0.016 4.819 H
1.887 -0.016 2.228 H
4.406 2.458 3.286 H
1.950 -2.458 1.897 H
4.469 0.016 2.954 H
5.190 -0.016 0.363 H
1.979 -3.566 4.569 H
5.127 -2.458 0.695 H
3.656 -3.566 3.205 H
1.381 1.181 3.506 Ir
2.102 -1.181 0.915 Ir
4.254 1.181 4.268 Ir
4.975 -1.181 1.677 Ir
```

=====

20.
Material: TeSeCl
Method: DFT, PBE
State: relaxed

Results
- Fermi-level density of states (states/eV/cell) = 1.6
- E_form (uncorrected) (eV per atom) = -0.10
- space-group type = No. 156
- total DFT energy (no corrections) (eV for the cell shown) = -8.79

```
TeSeCl
1.0
4.343 0.000 0.000
-2.171 3.761 0.000
0.000 0.000 5.746
Te Se Cl
1 1 1
Cartesian
0.000 0.000 0.000 Te
0.000 2.507 4.540 Se
2.171 1.254 1.594 Cl
```

=====

21.
Material: CrTcHg2
Method: DFT, PBE
State: relaxed

Results
- Fermi-level density of states (states/eV/cell) = 1.9
- space-group type = No. 99
- formation enthalpy at 0 K (eV per atom) = 0.331
- total DFT energy (no corrections) (eV for the cell shown) = -19.27

```
CrTcHg2
1.0
2.990 0.000 0.000
0.000 2.990 0.000
0.000 0.000 8.078
Cr Tc Hg
1 1 2
Cartesian
0.000 0.000 0.000 Cr
1.495 1.495 6.783 Tc
0.000 0.000 4.624 Hg
1.495 1.495 2.070 Hg
```

=====

22.
Material: K2CaTc
Method: DFT, PBE
State: relaxed

Results
- Fermi-level density of states (states/eV/cell) = 3.4
- space-group type = No. 8
- formation enthalpy at 0 K (eV per atom) = 0.907
- total DFT energy (no corrections) (eV for the cell shown) = -10.94

```
K2CaTc
1.0
5.210 -1.682 0.000
5.210 1.682 0.000
-2.635 0.000 9.805
K Ca Tc
2 1 1
Cartesian
0.000 0.000 0.000 K
0.002 0.000 6.011 K
7.753 0.000 3.005 Ca
4.947 0.000 3.006 Tc
```

=====

23.
Material: CoP2NCl
Method: DFT, PBE
State: relaxed

Results
- Fermi-level density of states (states/eV/cell) = 7.2
- E_form (uncorrected) (eV per atom) = 1.48
- space-group type = No. 123
- total DFT energy (no corrections) (eV for the cell shown) = -20.69

```
CoP2NCl
1.0
4.270 0.000 0.000
0.000 4.270 0.000
0.000 0.000 4.493
Co P N Cl
1 2 1 1
Cartesian
0.000 0.000 0.000 Co
0.000 2.135 0.000 P
2.135 0.000 0.000 P
2.135 2.135 2.247 N
0.000 0.000 2.247 Cl
```

=====

24.
Material: TbPr2Sm2Tm2
Method: DFT, PBE
State: relaxed

Results
- Fermi-level density of states (states/eV/cell) = 10.0
- space-group type = No. 12
- formation enthalpy at 0 K (eV per atom) = 0.022
- total DFT energy (no corrections) (eV for the cell shown) = -32.42

```
TbPr2Sm2Tm2
1.0
5.700 -2.547 0.000
5.700 2.547 0.000
-1.155 0.000 7.978
Tb Pr Sm Tm
1 2 2 2
Cartesian
0.000 0.000 0.000 Tb
1.140 0.000 3.412 Pr
9.106 0.000 4.566 Pr
4.572 0.000 2.230 Sm
5.674 0.000 5.748 Sm
2.251 0.000 6.870 Tm
7.995 0.000 1.108 Tm
```